DFT (PBE) results for crystalline Pm5Lu at its relaxed geometry.

Calculated formation energy   10 kJ/mol of formula units
V   33.48 Å³/atom
Total magnetic moment   0.0004 μB per atom

Unit cell a=5.1187 b=15.3570 c=5.1105 alpha=90.00 beta=90.00 gamma=90.00
Closest atoms and distances in Å follow each position.
Space group Cmmm (No. 65)
One atom of each set of equivalent atoms:
Pm (0.0000, 0.0000, 0.0000) [2 per cell]  8 Pm 3.60-3.61, 4 Lu 3.62
Pm (0.0000, 0.1651, 0.5000) [4 per cell]  10 Pm 3.60-3.65, 2 Lu 3.60
Pm (0.0000, 0.3341, 0.0000) [4 per cell]  2 Lu 3.61, 10 Pm 3.61-3.64
Lu (0.0000, 0.5000, 0.5000) [2 per cell]  12 Pm 3.60-3.62